# CsNbOF2 | the Alexandria database | PBE | optimized geometry
# uncorrected energy = -6.234 eV per atom
# energy relative to the elements, uncorrected = -222.76 kJ per mole of atoms
data_CsNbOF2
_symmetry_space_group_name_H-M 'P 4/m m m'
_symmetry_Int_Tables_number 123
_symmetry_space_group_name_Hall '-P 4 2'
_cell_length_a 4.554
_cell_length_b 4.554
_cell_length_c 4.080
_cell_angle_alpha 90.00
_cell_angle_beta 90.00
_cell_angle_gamma 90.00
loop_
_atom_site_label
_atom_site_fract_x
_atom_site_fract_y
_atom_site_fract_z
Cs1 0.000 0.000 0.000
Nb1 0.500 0.500 0.500
O1 0.500 0.500 0.000
F1 0.000 0.500 0.500



# CsNbO2F | the Alexandria database | PBE | optimized geometry
# uncorrected energy = -3.954 eV per atom
# energy relative to the elements, uncorrected = 56.72 kJ per mole of atoms
data_CsNbO2F
_symmetry_space_group_name_H-M 'P 4/m m m'
_symmetry_Int_Tables_number 123
_symmetry_space_group_name_Hall '-P 4 2'
_cell_length_a 4.540
_cell_length_b 4.540
_cell_length_c 5.046
_cell_angle_alpha 90.00
_cell_angle_beta 90.00
_cell_angle_gamma 90.00
loop_
_atom_site_label
_atom_site_fract_x
_atom_site_fract_y
_atom_site_fract_z
Cs1 0.000 0.000 0.000
Nb1 0.500 0.500 0.500
O1 0.000 0.500 0.000
F1 0.000 0.000 0.500



# CsNbO3F | the Alexandria database | PBE | optimized geometry
# uncorrected energy = -6.620 eV per atom
# energy relative to the elements, uncorrected = -193.76 kJ per mole of atoms
data_CsNbO3F
_symmetry_space_group_name_H-M 'C 1 2/c 1'
_symmetry_Int_Tables_number 15
_symmetry_space_group_name_Hall '-C 2yc'
_cell_length_a 7.051
_cell_length_b 14.826
_cell_length_c 5.629
_cell_angle_alpha 90.00
_cell_angle_beta 98.76
_cell_angle_gamma 90.00
loop_
_atom_site_label
_atom_site_fract_x
_atom_site_fract_y
_atom_site_fract_z
Cs1 0.000 0.161 0.250
Nb1 0.000 0.460 0.750
O1 0.000 0.337 0.750
O2 0.180 0.485 0.507
F1 0.000 0.202 0.750